(1)
# TaCuNi2, relaxed, DFT PBE
# * energy relative to the elements: -194 meV/atom
data_TaCuNi2
_chemical_formula_sum 'Ta2 Cu2 Ni4'
_cell_length_a 3.7452
_cell_length_b 3.7452
_cell_length_c 7.2684
_cell_angle_alpha 90.00
_cell_angle_beta 90.00
_cell_angle_gamma 90.00
_symmetry_space_group_name_H-M 'I 4/m m m'
_symmetry_Int_Tables_number 139
_symmetry_space_group_name_Hall '-I 4 2'
loop_
_atom_site_label
_atom_site_type_symbol
_atom_site_fract_x
_atom_site_fract_y
_atom_site_fract_z
Ta1 Ta 0.0000 0.0000 0.0000
Cu1 Cu 0.0000 0.0000 0.5000
Ni1 Ni 0.0000 0.5000 0.2500


(2)
# La2TbScBi4, relaxed, DFT PBE
# * energy relative to the elements: -895 meV/atom
data_La2TbScBi4
_chemical_formula_sum 'La2 Tb1 Sc1 Bi4'
_cell_length_a 7.8445
_cell_length_b 4.5614
_cell_length_c 7.8920
_cell_angle_alpha 90.00
_cell_angle_beta 109.62
_cell_angle_gamma 90.00
_symmetry_space_group_name_H-M 'P 1 2/m 1'
_symmetry_Int_Tables_number 10
loop_
_symmetry_equiv_pos_as_xyz
'x,y,z'
'-x,-y,-z'
'-x,y,-z'
'x,-y,z'
loop_
_atom_site_label
_atom_site_type_symbol
_atom_site_fract_x
_atom_site_fract_y
_atom_site_fract_z
La1 La 0.0000 0.0000 0.0000
La2 La 0.0000 0.5000 0.5000
Tb1 Tb 0.5000 0.0000 0.5000
Sc1 Sc 0.5000 0.5000 0.0000
Bi1 Bi 0.2669 0.5000 0.2490
Bi2 Bi 0.2719 0.0000 0.7640


(3)
# Y3AlN, relaxed, DFT PBE
# * VASP energy: -141.8 eV for the cell shown
data_Y3AlN
_chemical_formula_sum 'Y12 Al4 N4'
_cell_length_a 7.0004
_cell_length_b 9.4756
_cell_length_c 6.6705
_cell_angle_alpha 90.00
_cell_angle_beta 90.11
_cell_angle_gamma 90.00
_symmetry_space_group_name_H-M 'C 1 2/m 1'
_symmetry_Int_Tables_number 12
loop_
_symmetry_equiv_pos_as_xyz
'x,y,z'
'-x,-y,-z'
'-x,y,-z'
'x,-y,z'
'x+1/2,y+1/2,z'
'-x+1/2,-y+1/2,-z'
'-x+1/2,y+1/2,-z'
'x+1/2,-y+1/2,z'
loop_
_atom_site_label
_atom_site_type_symbol
_atom_site_fract_x
_atom_site_fract_y
_atom_site_fract_z
Y1 Y 0.0004 0.2445 0.2502
Y2 Y 0.2469 0.5000 0.9999
Al1 Al 0.2298 0.5000 0.4999
N1 N 0.2500 0.2500 0.0000


(4)
# Mg2Si3, relaxed, DFT PBE
# * energy relative to the lowest polymorph listed for this composition: 99 meV/atom
data_Mg2Si3
_chemical_formula_sum 'Mg8 Si12'
_cell_length_a 3.7394
_cell_length_b 6.0112
_cell_length_c 17.0031
_cell_angle_alpha 93.23
_cell_angle_beta 92.57
_cell_angle_gamma 98.17
_symmetry_space_group_name_H-M 'P 1'
_symmetry_Int_Tables_number 1
loop_
_symmetry_equiv_pos_as_xyz
'x,y,z'
loop_
_atom_site_label
_atom_site_type_symbol
_atom_site_fract_x
_atom_site_fract_y
_atom_site_fract_z
Mg1 Mg 0.0000 0.0000 0.0000
Mg2 Mg 0.0434 0.7688 0.2309
Mg3 Mg 0.1173 0.3156 0.1565
Mg4 Mg 0.1699 0.0593 0.3885
Mg5 Mg 0.5214 0.3024 0.9036
Mg6 Mg 0.6326 0.7697 0.5015
Mg7 Mg 0.6903 0.5406 0.7376
Mg8 Mg 0.7825 0.0932 0.6406
Si1 Si 0.0252 0.5561 0.3910
Si2 Si 0.1063 0.5313 0.0007
Si3 Si 0.2064 0.7473 0.6354
Si4 Si 0.3356 0.3873 0.5810
Si5 Si 0.3568 0.9211 0.7737
Si6 Si 0.4482 0.7598 0.9011
Si7 Si 0.4921 0.4792 0.3024
Si8 Si 0.5425 0.9878 0.1275
Si9 Si 0.6232 0.1026 0.2665
Si10 Si 0.6401 0.6085 0.0898
Si11 Si 0.7997 0.2966 0.4935
Si12 Si 0.9306 0.1730 0.7919


(5)
# Sc2Be2Bi, relaxed, DFT PBE
# * energy relative to the lowest polymorph listed for this composition: 377 meV/atom
# * energy relative to the elements: 167 meV/atom
data_Sc2Be2Bi
_chemical_formula_sum 'Sc4 Be4 Bi2'
_cell_length_a 3.3546
_cell_length_b 3.3546
_cell_length_c 17.3902
_cell_angle_alpha 90.00
_cell_angle_beta 90.00
_cell_angle_gamma 90.00
_symmetry_space_group_name_H-M 'I 4/m m m'
_symmetry_Int_Tables_number 139
_symmetry_space_group_name_Hall '-I 4 2'
loop_
_atom_site_label
_atom_site_type_symbol
_atom_site_fract_x
_atom_site_fract_y
_atom_site_fract_z
Sc1 Sc 0.0000 0.0000 0.1235
Be1 Be 0.0000 0.5000 0.2500
Bi1 Bi 0.0000 0.0000 0.5000


(6)
# SmHfZr2, relaxed, DFT PBE
# * energy relative to the lowest polymorph listed for this composition: 6 meV/atom
# * energy relative to the elements: 124 meV/atom
data_SmHfZr2
_chemical_formula_sum 'Sm3 Hf3 Zr6'
_cell_length_a 3.2667
_cell_length_b 3.2667
_cell_length_c 32.3081
_cell_angle_alpha 90.00
_cell_angle_beta 90.00
_cell_angle_gamma 120.00
_symmetry_space_group_name_H-M 'R -3 m'
_symmetry_Int_Tables_number 166
_symmetry_space_group_name_Hall '-R 3 2"'
loop_
_atom_site_label
_atom_site_type_symbol
_atom_site_fract_x
_atom_site_fract_y
_atom_site_fract_z
Sm1 Sm 0.0000 0.0000 0.0000
Hf1 Hf 0.0000 0.0000 0.5000
Zr1 Zr 0.0000 0.0000 0.2447


(7)
# OsBr5, relaxed, DFT PBE
# * energy relative to the lowest polymorph listed for this composition: 262 meV/atom
data_OsBr5
_chemical_formula_sum 'Os2 Br10'
_cell_length_a 7.5141
_cell_length_b 3.7826
_cell_length_c 13.4914
_cell_angle_alpha 90.00
_cell_angle_beta 90.00
_cell_angle_gamma 90.00
_symmetry_space_group_name_H-M 'A m m 2'
_symmetry_Int_Tables_number 38
loop_
_symmetry_equiv_pos_as_xyz
'x,y,z'
'-x,-y,z'
'-x,y,z'
'x,-y,z'
'x,y+1/2,z+1/2'
'-x,-y+1/2,z+1/2'
'-x,y+1/2,z+1/2'
'x,-y+1/2,z+1/2'
loop_
_atom_site_label
_atom_site_type_symbol
_atom_site_fract_x
_atom_site_fract_y
_atom_site_fract_z
Os1 Os 0.0000 0.0000 0.0000
Br1 Br 0.0000 0.0000 0.3807
Br2 Br 0.0000 0.0000 0.6193
Br3 Br 0.5000 0.0000 0.0036
Br4 Br 0.5000 0.0000 0.3348
Br5 Br 0.5000 0.0000 0.6725


(8)
# Fe4Co, relaxed, DFT PBE
# * energy relative to the lowest polymorph listed for this composition: 6 meV/atom
# * energy relative to the elements: -28 meV/atom
data_Fe4Co
_chemical_formula_sum 'Fe12 Co3'
_cell_length_a 4.0283
_cell_length_b 4.0283
_cell_length_c 12.3486
_cell_angle_alpha 90.00
_cell_angle_beta 90.00
_cell_angle_gamma 120.00
_symmetry_space_group_name_H-M 'R -3 m'
_symmetry_Int_Tables_number 166
_symmetry_space_group_name_Hall '-R 3 2"'
loop_
_atom_site_label
_atom_site_type_symbol
_atom_site_fract_x
_atom_site_fract_y
_atom_site_fract_z
Fe1 Fe 0.0000 0.0000 0.1004
Fe2 Fe 0.0000 0.0000 0.3016
Co1 Co 0.0000 0.0000 0.5000


(9)
# NaYSe2Br, relaxed, DFT PBE
# * energy relative to the lowest polymorph listed for this composition: 0 meV/atom
data_NaYSe2Br
_chemical_formula_sum 'Na1 Y1 Se2 Br1'
_cell_length_a 5.4871
_cell_length_b 5.4871
_cell_length_c 5.7113
_cell_angle_alpha 90.00
_cell_angle_beta 90.00
_cell_angle_gamma 90.00
_symmetry_space_group_name_H-M 'P 4/m m m'
_symmetry_Int_Tables_number 123
_symmetry_space_group_name_Hall '-P 4 2'
loop_
_atom_site_label
_atom_site_type_symbol
_atom_site_fract_x
_atom_site_fract_y
_atom_site_fract_z
Na1 Na 0.0000 0.0000 0.0000
Y1 Y 0.5000 0.5000 0.5000
Se1 Se 0.0000 0.5000 0.5000
Br1 Br 0.5000 0.5000 0.0000


(10)
# Mg2CdSn2, relaxed, DFT PBE
# * energy relative to the lowest polymorph listed for this composition: 0 meV/atom
# * energy relative to the elements: -58 meV/atom
data_Mg2CdSn2
_chemical_formula_sum 'Mg4 Cd2 Sn4'
_cell_length_a 5.3889
_cell_length_b 13.5200
_cell_length_c 3.3338
_cell_angle_alpha 90.00
_cell_angle_beta 90.00
_cell_angle_gamma 90.00
_symmetry_space_group_name_H-M 'C m m m'
_symmetry_Int_Tables_number 65
_symmetry_space_group_name_Hall '-C 2 2'
loop_
_atom_site_label
_atom_site_type_symbol
_atom_site_fract_x
_atom_site_fract_y
_atom_site_fract_z
Mg1 Mg 0.0000 0.1821 0.0000
Cd1 Cd 0.0000 0.0000 0.5000
Sn1 Sn 0.0000 0.3772 0.5000


(11)
# Be2AgSn, relaxed, DFT PBE
# * energy relative to the elements: 525 meV/atom
data_Be2AgSn
_chemical_formula_sum 'Be8 Ag4 Sn4'
_cell_length_a 4.0894
_cell_length_b 4.0894
_cell_length_c 16.5301
_cell_angle_alpha 90.00
_cell_angle_beta 90.00
_cell_angle_gamma 90.00
_symmetry_space_group_name_H-M 'I -4 2 d'
_symmetry_Int_Tables_number 122
_symmetry_space_group_name_Hall 'I -4 2bw'
loop_
_atom_site_label
_atom_site_type_symbol
_atom_site_fract_x
_atom_site_fract_y
_atom_site_fract_z
Be1 Be 0.1635 0.2500 0.1250
Ag1 Ag 0.0000 0.0000 0.0000
Sn1 Sn 0.0000 0.0000 0.5000


(12)
# ThMgAu2, relaxed, DFT PBE
# * energy relative to the elements: -671 meV/atom
data_ThMgAu2
_chemical_formula_sum 'Th4 Mg4 Au8'
_cell_length_a 7.1382
_cell_length_b 7.1382
_cell_length_c 7.1382
_cell_angle_alpha 90.00
_cell_angle_beta 90.00
_cell_angle_gamma 90.00
_symmetry_space_group_name_H-M 'F m -3 m'
_symmetry_Int_Tables_number 225
_symmetry_space_group_name_Hall '-F 4 2 3'
loop_
_atom_site_label
_atom_site_type_symbol
_atom_site_fract_x
_atom_site_fract_y
_atom_site_fract_z
Th1 Th 0.0000 0.0000 0.0000
Mg1 Mg 0.0000 0.0000 0.5000
Au1 Au 0.2500 0.2500 0.2500


Please write out number 2 again, unchanged.
# La2TbScBi4, relaxed, DFT PBE
# * energy relative to the elements: -895 meV/atom
data_La2TbScBi4
_chemical_formula_sum 'La2 Tb1 Sc1 Bi4'
_cell_length_a 7.8445
_cell_length_b 4.5614
_cell_length_c 7.8920
_cell_angle_alpha 90.00
_cell_angle_beta 109.62
_cell_angle_gamma 90.00
_symmetry_space_group_name_H-M 'P 1 2/m 1'
_symmetry_Int_Tables_number 10
loop_
_symmetry_equiv_pos_as_xyz
'x,y,z'
'-x,-y,-z'
'-x,y,-z'
'x,-y,z'
loop_
_atom_site_label
_atom_site_type_symbol
_atom_site_fract_x
_atom_site_fract_y
_atom_site_fract_z
La1 La 0.0000 0.0000 0.0000
La2 La 0.0000 0.5000 0.5000
Tb1 Tb 0.5000 0.0000 0.5000
Sc1 Sc 0.5000 0.5000 0.0000
Bi1 Bi 0.2669 0.5000 0.2490
Bi2 Bi 0.2719 0.0000 0.7640